# 1
Entry from Alexandria: a relaxed Y2TePb crystal (PBE).

abc: 6.241 6.241 12.509
angles: 89.99 90.00 90.00
Sites, in units of the cell vectors:
Y 0.749 0.000 0.873
Y 0.251 0.000 0.127
Y 0.749 0.500 0.627
Y 0.251 0.500 0.373
Y 0.751 0.500 0.123
Y 0.249 0.500 0.877
Y 0.751 0.000 0.377
Y 0.249 0.000 0.623
Te 0.249 0.500 0.625
Te 0.751 0.500 0.375
Te 0.249 0.000 0.875
Te 0.751 0.000 0.125
Pb 0.251 0.000 0.375
Pb 0.749 0.000 0.625
Pb 0.251 0.500 0.125
Pb 0.749 0.500 0.875

Energy above the most stable polymorph in this dataset ... 0.000 eV/atom
Raw formation energy ... -0.989 eV/atom
Crystal system ... orthorhombic
Symmetry ... No. 53

***

# 2
Entry from Alexandria: a relaxed Y4Te2Pb crystal (PBE).

abc: 8.275 8.275 8.286
angles: 108.81 108.82 110.74
Sites, in units of the cell vectors:
Y 0.942 0.253 0.312
Y 0.308 0.497 0.188
Y 0.941 0.630 0.688
Y 0.747 0.058 0.688
Y 0.370 0.059 0.312
Y 0.309 0.120 0.812
Y 0.503 0.692 0.812
Y 0.880 0.691 0.188
Te 0.625 0.375 0.750
Te 0.625 0.875 0.250
Te 0.625 0.375 0.250
Te 0.125 0.375 0.750
Pb 0.250 0.750 0.500
Pb 0.000 0.000 0.000

Energy above the most stable polymorph in this dataset ... 0.000 eV/atom
Raw formation energy ... -0.854 eV/atom
Crystal system ... orthorhombic
Symmetry ... No. 70

***

# 3
Entry from Alexandria: a relaxed YTePb crystal (PBE).

abc: 5.248 5.248 5.248
angles: 60.00 60.00 60.00
Sites, in units of the cell vectors:
Pb 0.000 0.000 0.000
Te 0.500 0.500 0.500
Y 0.250 0.250 0.250

Raw formation energy ... -0.360 eV/atom
Crystal system ... cubic
Symmetry ... No. 216

***

# 4
Entry from Alexandria: a relaxed Y2TePb crystal (PBE).

abc: 4.381 4.381 7.947
angles: 74.00 74.00 60.00
Sites, in units of the cell vectors:
Y 0.078 0.078 0.766
Y 0.256 0.256 0.233
Te 0.498 0.498 0.506
Pb 0.668 0.668 0.996

Energy above the most stable polymorph in this dataset ... 0.110 eV/atom
Raw formation energy ... -0.878 eV/atom
Crystal system ... trigonal
Symmetry ... No. 160